(1)
{"formula": "LiRuPt3", "functional": "PBEsol", "state": "optimized geometry", "energy_ev_per_atom": -5.8335, "total_magnetization_mub_per_cell": 1.522, "delta_e_f_ev_per_fu": 3.86, "lattice": [[4.124, 0.000, 0.000], [0.000, 4.124, 0.000], [0.000, 0.000, 4.124]], "species": ["Ru", "Pt", "Pt", "Pt", "Li"], "frac_coords": [[0.500, 0.500, 0.500], [0.000, 0.500, 0.000], [0.000, 0.000, 0.500], [0.500, 0.000, 0.000], [0.000, 0.000, 0.000]]}

=====

(2)
{"formula": "Li2RuPt", "functional": "PBEsol", "state": "optimized geometry", "e_above_lowest_polymorph_mev_per_atom": 311, "energy_ev_per_atom": -5.0830, "total_magnetization_mub_per_cell": 0.009, "delta_e_f_ev_per_fu": 0.74, "lattice": [[-1.726, -1.653, -3.305], [-0.630, -4.026, -0.175], [-3.795, -1.481, 0.206]], "species": ["Li", "Li", "Pt", "Ru"], "frac_coords": [[0.250, 0.250, 0.250], [0.750, 0.750, 0.750], [0.000, 0.000, 0.000], [0.500, 0.500, 0.500]]}

=====

(3)
{"formula": "LiRuPt2", "functional": "PBEsol", "state": "optimized geometry", "e_above_lowest_polymorph_mev_per_atom": 194, "energy_ev_per_atom": -6.5864, "total_magnetization_mub_per_cell": 0.022, "delta_e_f_ev_per_fu": -0.28, "lattice": [[3.738, 0.000, 0.000], [0.000, 3.819, 0.000], [0.000, 0.000, 3.819]], "species": ["Li", "Pt", "Pt", "Ru"], "frac_coords": [[0.500, 0.000, 0.000], [0.000, 0.000, 0.500], [0.000, 0.500, 0.000], [0.500, 0.500, 0.500]]}

=====

(4)
{"formula": "LiRuPt2", "functional": "PBEsol", "state": "optimized geometry", "e_above_lowest_polymorph_mev_per_atom": 283, "energy_ev_per_atom": -6.4972, "total_magnetization_mub_per_cell": 0.001, "delta_e_f_ev_per_fu": 0.08, "lattice": [[2.704, 0.000, 0.000], [0.000, 2.704, 0.000], [0.000, 0.000, 7.598]], "species": ["Li", "Pt", "Pt", "Ru"], "frac_coords": [[0.500, 0.500, 0.756], [0.000, 0.000, 0.988], [0.500, 0.500, 0.258], [0.000, 0.000, 0.498]]}

=====

(5)
{"formula": "LiRuPt2", "functional": "PBEsol", "state": "optimized geometry", "e_above_lowest_polymorph_mev_per_atom": 159, "energy_ev_per_atom": -6.6220, "total_magnetization_mub_per_cell": 0.000, "delta_e_f_ev_per_fu": -0.42, "lattice": [[-0.074, -2.763, 2.587], [3.173, 1.366, 1.550], [-3.616, 2.898, 0.222]], "species": ["Li", "Pt", "Pt", "Ru"], "frac_coords": [[0.250, 0.750, 0.500], [0.000, 0.000, 0.000], [0.750, 0.250, 0.500], [0.500, 0.500, 0.000]]}

=====

(6)
{"formula": "Li2RuPt", "functional": "PBEsol", "state": "optimized geometry", "e_above_lowest_polymorph_mev_per_atom": 151, "energy_ev_per_atom": -5.2429, "total_magnetization_mub_per_cell": 0.001, "delta_e_f_ev_per_fu": 0.10, "lattice": [[-2.481, 1.002, 0.284], [-0.540, -0.126, -4.280], [-0.093, -4.499, 2.320]], "species": ["Li", "Li", "Pt", "Ru"], "frac_coords": [[0.007, 0.007, 0.014], [0.748, 0.248, 0.496], [0.497, 0.497, 0.995], [0.248, 0.748, 0.496]]}

=====

(7)
{"formula": "LiPt2S", "functional": "PBEsol", "state": "optimized geometry", "energy_ev_per_atom": -5.2416, "total_magnetization_mub_per_cell": 0.000, "lattice": [[5.128, 0.000, 0.000], [0.000, 5.128, 0.000], [-2.564, -2.564, 7.276]], "species": ["S", "S", "Pt", "Pt", "Pt", "Pt", "Li", "Li"], "frac_coords": [[0.250, 0.750, 0.500], [0.000, 0.000, 0.000], [0.159, 0.875, 0.250], [0.091, 0.375, 0.250], [0.125, 0.909, 0.750], [0.625, 0.841, 0.750], [0.750, 0.250, 0.500], [0.500, 0.500, 0.000]]}

=====

(8)
{"formula": "Li3PtS", "functional": "PBEsol", "state": "optimized geometry", "energy_ev_per_atom": -3.7341, "total_magnetization_mub_per_cell": 0.007, "lattice": [[4.383, 0.000, 0.000], [0.000, 4.383, 0.000], [0.000, 0.000, 4.383]], "species": ["S", "Pt", "Li", "Li", "Li"], "frac_coords": [[0.000, 0.000, 0.000], [0.500, 0.500, 0.500], [0.000, 0.500, 0.000], [0.000, 0.000, 0.500], [0.500, 0.000, 0.000]]}

=====

(9)
{"formula": "LiSbPt3", "functional": "PBEsol", "state": "optimized geometry", "energy_ev_per_atom": -4.8775, "total_magnetization_mub_per_cell": 0.000, "lattice": [[-4.519, -1.893, -0.416], [1.761, -3.572, -2.884], [0.808, -2.800, 3.960]], "species": ["Sb", "Pt", "Pt", "Pt", "Li"], "frac_coords": [[0.000, 0.000, 0.000], [0.000, 0.500, 0.000], [0.000, 0.000, 0.500], [0.500, 0.000, 0.000], [0.500, 0.500, 0.500]]}

=====

(10)
{"formula": "LiScPt4", "functional": "PBEsol", "state": "optimized geometry", "energy_ev_per_atom": -6.7901, "total_magnetization_mub_per_cell": 0.001, "delta_e_f_ev_per_fu": -4.31, "lattice": [[5.215, 0.000, 0.000], [2.607, 4.516, 0.000], [2.607, 1.505, 4.258]], "species": ["Li", "Pt", "Pt", "Pt", "Pt", "Sc"], "frac_coords": [[0.000, 0.000, 0.000], [0.375, 0.375, 0.375], [0.375, 0.375, 0.876], [0.876, 0.375, 0.375], [0.375, 0.876, 0.375], [0.750, 0.750, 0.750]]}

=====

(11)
{"formula": "LiPtSe3", "functional": "PBEsol", "state": "optimized geometry", "energy_ev_per_atom": -3.4895, "total_magnetization_mub_per_cell": 0.000, "lattice": [[4.450, 0.000, 0.000], [0.000, 4.450, 0.000], [0.000, 0.000, 4.450]], "species": ["Se", "Se", "Se", "Pt", "Li"], "frac_coords": [[0.000, 0.500, 0.000], [0.000, 0.000, 0.500], [0.500, 0.000, 0.000], [0.500, 0.500, 0.500], [0.000, 0.000, 0.000]]}

=====

(12)
{"formula": "LiPt2Se", "functional": "PBEsol", "state": "optimized geometry", "energy_ev_per_atom": -4.9790, "total_magnetization_mub_per_cell": 0.000, "lattice": [[-1.473, 2.146, -0.913], [-0.919, -2.570, -0.402], [-4.490, 0.346, 8.058]], "species": ["Li", "Pt", "Pt", "Se"], "frac_coords": [[0.500, 0.500, 0.000], [0.000, 0.000, 0.234], [0.000, 0.000, 0.766], [0.500, 0.500, 0.500]]}